Record 1
Ce5Ga2Ru | PBE | relaxed

**ΔE_f**: -0.29 eV per atom
**E**: -5.917 eV/atom
**Calculated density**: 8.357 Mg/m³

Cell lengths 6.060, 6.251, 6.361 Å; angles 108.71, 104.68, 113.94 degrees
Space group P1 (No. 1)
Asymmetric unit:
Ce1 0.000 0.000 0.000 [1 per cell]
Ce2 0.014 0.526 0.469 [1 per cell]
Ce3 0.117 0.188 0.609 [1 per cell]
Ce4 0.457 0.095 0.428 [1 per cell]
Ce5 0.512 0.590 0.073 [1 per cell]
Ga1 0.507 0.048 0.916 [1 per cell]
Ga2 0.944 0.476 0.951 [1 per cell]
Ru1 0.620 0.726 0.594 [1 per cell]

Record 2
Ce5Ga2Ru2 | PBE | relaxed

**ΔE_f**: -0.28 eV per atom
**E**: -6.308 eV/atom
**Calculated density**: 7.756 Mg/m³

Cell lengths 15.996, 7.738, 7.211 Å; angles 90.00, 90.00, 90.00 degrees
Space group Ima2 (No. 46)
Asymmetric unit:
Ce1 0.050 0.180 0.000 [8 per cell]
Ce2 0.161 0.651 0.799 [8 per cell]
Ce3 0.250 0.163 0.701 [4 per cell]
Ga1 0.078 0.539 0.158 [8 per cell]
Ru1 0.000 0.000 0.319 [4 per cell]
Ru2 0.250 0.034 0.998 [4 per cell]

Record 3
Ce2GaRu | PBE | relaxed

**ΔE_f**: -0.35 eV per atom
**E**: -6.392 eV/atom
**Calculated density**: 8.909 Mg/m³

Cell lengths 6.186, 8.221, 3.306 Å; angles 90.00, 90.00, 90.00 degrees
Space group Cmmm (No. 65)
Asymmetric unit:
Ce1 0.250 0.250 0.000 [4 per cell]
Ga1 0.000 0.000 0.500 [2 per cell]
Ru1 0.000 0.500 0.500 [2 per cell]

Record 4
CeGaRu | PBE | relaxed

**ΔE_f**: -0.56 eV per atom
**E**: -6.637 eV/atom
**Calculated density**: 8.647 Mg/m³

Cell lengths 4.528, 5.019, 6.081 Å; angles 89.15, 68.42, 69.58 degrees
Space group P-1 (No. 2)
Asymmetric unit:
Ce1 0.218 0.324 0.181 [2 per cell]
Ga1 0.435 0.771 0.421 [2 per cell]
Ru1 0.022 0.837 0.202 [2 per cell]

Record 5
Ce4Ga16Ru3 | PBE | relaxed

**ΔE_f**: -0.55 eV per atom
**E**: -4.897 eV/atom
**Calculated density**: 7.568 Mg/m³

Cell lengths 6.191, 6.191, 11.329 Å; angles 90.00, 90.00, 90.00 degrees
Space group P4/mmm (No. 123)
Asymmetric unit:
Ce1 0.000 0.500 0.194 [4 per cell]
Ga1 0.000 0.000 0.198 [2 per cell]
Ga2 0.213 0.213 0.000 [4 per cell]
Ga3 0.250 0.250 0.382 [8 per cell]
Ga4 0.500 0.500 0.223 [2 per cell]
Ru1 0.000 0.500 0.500 [2 per cell]
Ru2 0.500 0.500 0.000 [1 per cell]

Record 6
Ce7GaRu2 | PBE | relaxed

**ΔE_f**: -0.05 eV per atom
**E**: -6.365 eV/atom
**Calculated density**: 7.120 Mg/m³

Cell lengths 8.822, 13.144, 5.039 Å; angles 90.00, 90.00, 90.00 degrees
Space group Cmmm (No. 65)
Asymmetric unit:
Ce1 0.000 0.000 0.000 [2 per cell]
Ce2 0.000 0.227 0.500 [4 per cell]
Ce3 0.166 0.391 0.000 [8 per cell]
Ga1 0.000 0.500 0.500 [2 per cell]
Ru1 0.000 0.186 0.000 [4 per cell]

Record 7
CeGaRu2 | PBE | relaxed

**ΔE_f**: -0.02 eV per atom
**E**: -6.894 eV/atom
**Calculated density**: 9.418 Mg/m³

Cell lengths 3.4765, 3.4765, 20.8193 Å; angles 90.00, 90.00, 120.00 degrees
Space group R-3m (No. 166, hexagonal axes)
Asymmetric unit:
Ce1 0.0000 0.0000 0.0000 [3 per cell]
Ga1 0.0000 0.0000 0.5000 [3 per cell]
Ru1 0.0000 0.0000 0.2432 [6 per cell]

Record 8
Ce4Ga2Ru | PBE | relaxed

**ΔE_f**: -0.36 eV per atom
**E above lowest polymorph**: 0.000 eV per atom
**E**: -5.936 eV/atom
**Calculated density**: 8.418 Mg/m³

Cell lengths 13.118, 4.609, 5.382 Å; angles 90.00, 103.76, 90.00 degrees
Space group C2/m (No. 12)
Asymmetric unit:
Ce1 0.104 0.000 0.260 [4 per cell]
Ce2 0.105 0.500 0.602 [4 per cell]
Ga1 0.245 0.500 0.153 [4 per cell]
Ru1 0.000 0.500 0.000 [2 per cell]

Record 9
Ce2Ga8Ru | PBE | relaxed

**ΔE_f**: -0.50 eV per atom
**E**: -4.619 eV/atom
**Calculated density**: 7.257 Mg/m³

Cell lengths 4.357, 4.357, 11.318 Å; angles 90.00, 90.00, 90.00 degrees
Space group P4/mmm (No. 123)
Asymmetric unit:
Ce1 0.000 0.000 0.194 [2 per cell]
Ga1 0.000 0.500 0.000 [2 per cell]
Ga2 0.000 0.500 0.381 [4 per cell]
Ga3 0.500 0.500 0.194 [2 per cell]
Ru1 0.000 0.000 0.500 [1 per cell]

Record 10
Ce5GaRu3 | PBE | relaxed

**ΔE_f**: -0.21 eV per atom
**E**: -6.940 eV/atom
**Calculated density**: 7.439 Mg/m³

Cell lengths 12.144, 8.899, 9.545 Å; angles 90.00, 111.69, 90.00 degrees
Space group C2/m (No. 12)
Asymmetric unit:
Ce1 0.000 0.210 0.000 [4 per cell]
Ce2 0.036 0.000 0.343 [4 per cell]
Ce3 0.173 0.308 0.638 [8 per cell]
Ce4 0.231 0.500 0.053 [4 per cell]
Ga1 0.080 0.500 0.290 [4 per cell]
Ru1 0.000 0.500 0.000 [2 per cell]
Ru2 0.000 0.500 0.500 [2 per cell]
Ru3 0.166 0.000 0.161 [4 per cell]
Ru4 0.183 0.000 0.603 [4 per cell]

Record 11
Ce3Ga3Ru | PBE | relaxed

**ΔE_f**: -0.52 eV per atom
**E**: -5.686 eV/atom
**Calculated density**: 7.970 Mg/m³

Cell lengths 3.534, 11.426, 15.079 Å; angles 90.00, 90.00, 90.00 degrees
Space group Cmcm (No. 63)
Asymmetric unit:
Ce1 0.000 0.002 0.250 [4 per cell]
Ce2 0.000 0.331 0.588 [8 per cell]
Ga1 0.000 0.265 0.250 [4 per cell]
Ga2 0.000 0.398 0.104 [8 per cell]
Ru1 0.000 0.000 0.000 [4 per cell]

Record 12
Ce4Ga12Ru | PBE | relaxed

**ΔE_f**: -0.58 eV per atom
**E**: -4.659 eV/atom
**Calculated density**: 7.518 Mg/m³

Cell lengths 8.715, 8.715, 8.715 Å; angles 90.00, 90.00, 90.00 degrees
Space group Im-3m (No. 229)
Asymmetric unit:
Ce1 0.250 0.250 0.250 [8 per cell]
Ga1 0.000 0.000 0.291 [12 per cell]
Ga2 0.000 0.250 0.500 [12 per cell]
Ru1 0.000 0.000 0.000 [2 per cell]

Record 13
Ce12Ga6Ru | PBE | relaxed

**ΔE_f**: -0.27 eV per atom
**E**: -5.460 eV/atom
**Calculated density**: 8.313 Mg/m³

Cell lengths 10.6568, 10.6568, 13.4088 Å; angles 90.00, 90.00, 120.00 degrees
Space group R-3 (No. 148, hexagonal axes)
Asymmetric unit:
Ce1 0.0455 0.8729 0.3070 [18 per cell]
Ce2 0.0706 0.2221 0.9319 [18 per cell]
Ga1 0.0505 0.6002 0.1960 [18 per cell]
Ru1 0.0000 0.0000 0.5000 [3 per cell]

Record 14
Ce6GaRu2 | PBE | relaxed

**ΔE_f**: -0.34 eV per atom
**E above lowest polymorph**: 0.000 eV per atom
**E**: -6.689 eV/atom
**Calculated density**: 8.708 Mg/m³

Cell lengths 10.216, 4.818, 8.659 Å; angles 90.00, 95.41, 90.00 degrees
Space group C2/m (No. 12)
Asymmetric unit:
Ce1 0.055 0.000 0.357 [4 per cell]
Ce2 0.106 0.500 0.676 [4 per cell]
Ce3 0.199 0.500 0.096 [4 per cell]
Ga1 0.000 0.000 0.000 [2 per cell]
Ru1 0.231 0.500 0.379 [4 per cell]

Record 15
Ce3Ga2Ru3 | PBE | relaxed

**ΔE_f**: -0.46 eV per atom
**E above lowest polymorph**: 0.027 eV per atom
**E**: -6.922 eV/atom
**Calculated density**: 8.828 Mg/m³

Cell lengths 7.195, 15.832, 5.700 Å; angles 90.00, 90.00, 90.00 degrees
Space group Pnma (No. 62)
Asymmetric unit:
Ce1 0.034 0.093 0.147 [8 per cell]
Ce2 0.210 0.250 0.539 [4 per cell]
Ga1 0.106 0.615 0.358 [8 per cell]
Ru1 0.186 0.750 0.649 [4 per cell]
Ru2 0.199 0.027 0.573 [8 per cell]

Record 16
CeScGaRu | PBE | relaxed

**ΔE_f**: -0.41 eV per atom
**E**: -6.553 eV/atom
**Calculated density**: 7.354 Mg/m³

Cell lengths 6.850, 6.850, 6.850 Å; angles 90.00, 90.00, 90.00 degrees
Space group F-43m (No. 216)
Asymmetric unit:
Ce1 0.000 0.000 0.000 [4 per cell]
Sc1 0.000 0.000 0.500 [4 per cell]
Ga1 0.250 0.250 0.750 [4 per cell]
Ru1 0.250 0.250 0.250 [4 per cell]

Record 17
CeGa2SiRu2 | PBE | relaxed

**E**: -6.369 eV/atom
**Calculated density**: 7.519 Mg/m³
**Formation energy without anion corrections**: -376 meV per atom

Cell lengths 4.439, 4.439, 5.715 Å; angles 90.00, 90.00, 90.00 degrees
Space group P4/mmm (No. 123)
Asymmetric unit:
Ce1 0.000 0.000 0.000 [1 per cell]
Ga1 0.500 0.500 0.232 [2 per cell]
Si1 0.000 0.000 0.500 [1 per cell]
Ru1 0.000 0.500 0.500 [2 per cell]

Record 18
Ce2GaSi2Ru5 | PBE | relaxed

**E**: -7.813 eV/atom
**Calculated density**: 9.193 Mg/m³
**Formation energy without anion corrections**: -601 meV per atom

Cell lengths 10.016, 10.016, 3.282 Å; angles 90.00, 90.00, 90.00 degrees
Space group P4/mbm (No. 127)
Asymmetric unit:
Ce1 0.174 0.326 0.000 [4 per cell]
Ga1 0.000 0.000 0.000 [2 per cell]
Si1 0.126 0.626 0.000 [4 per cell]
Ru1 0.000 0.500 0.500 [2 per cell]
Ru2 0.067 0.791 0.500 [8 per cell]

Record 19
CeSmGaRu | PBE | relaxed

**ΔE_f**: -0.50 eV per atom
**E above lowest polymorph**: 0.000 eV per atom
**E**: -6.235 eV/atom
**Calculated density**: 8.229 Mg/m³

Cell lengths 3.774, 4.170, 11.829 Å; angles 90.00, 90.00, 90.00 degrees
Space group Amm2 (No. 38)
Asymmetric unit:
Ce1 0.000 0.000 0.000 [2 per cell]
Sm1 0.500 0.000 0.721 [2 per cell]
Ga1 0.000 0.000 0.307 [2 per cell]
Ru1 0.500 0.000 0.463 [2 per cell]

Record 20
CeSmGaRu | PBE | relaxed

**ΔE_f**: -0.33 eV per atom
**E above lowest polymorph**: 0.168 eV per atom
**E**: -6.066 eV/atom
**Calculated density**: 8.526 Mg/m³

Cell lengths 7.109, 7.109, 7.109 Å; angles 90.00, 90.00, 90.00 degrees
Space group F-43m (No. 216)
Asymmetric unit:
Ce1 0.000 0.000 0.000 [4 per cell]
Sm1 0.000 0.000 0.500 [4 per cell]
Ga1 0.250 0.250 0.250 [4 per cell]
Ru1 0.250 0.250 0.750 [4 per cell]

Record 21
CeTmGaRu | PBE | relaxed

**ΔE_f**: -0.41 eV per atom
**E**: -6.083 eV/atom
**Calculated density**: 9.329 Mg/m³

Cell lengths 6.991, 6.991, 6.991 Å; angles 90.00, 90.00, 90.00 degrees
Space group F-43m (No. 216)
Asymmetric unit:
Ce1 0.000 0.000 0.000 [4 per cell]
Tm1 0.000 0.000 0.500 [4 per cell]
Ga1 0.250 0.250 0.250 [4 per cell]
Ru1 0.250 0.250 0.750 [4 per cell]